Record 1
Material: Nd4ThAu5
Method: DFT, GGA-PBE
State: optimized geometry

## Properties
The value obtained for the volume is 25.641 A^3/atom. The calculation puts the final energy at -5.0086 eV per atom.

a b c (Å): 3.6939 3.6939 18.7918
angles (deg): 90.00 90.00 90.00
Closest atoms and distances in Å follow each position.
Space group P4/mmm (No. 123)
Unique sites:
Nd  0.0000  0.0000  0.1001  8 Au 3.20-3.22
Nd  0.0000  0.0000  0.2990  8 Au 3.21-3.22
Th  0.0000  0.0000  0.5000  8 Au 3.23
Au  0.5000  0.5000  0.0000  8 Nd 3.22
Au  0.5000  0.5000  0.1989  8 Nd 3.20-3.22
Au  0.5000  0.5000  0.3986  4 Nd 3.21, 4 Th 3.23



Record 2
Material: NdTh2Au
Method: DFT, GGA-PBE
State: optimized geometry

## Properties
The value obtained for the volume is 29.973 A^3/atom. The calculation puts the final energy at -5.9506 eV per atom. The calculation puts the energy above the lowest structure with this stoichiometry at 0.000 eV per atom.

a b c (Å): 3.6994 3.6994 8.7607
angles (deg): 90.00 90.00 90.00
Closest atoms and distances in Å follow each position.
Space group P4/mmm (No. 123)
Unique sites:
Nd  0.0000  0.0000  0.0000  8 Th 3.63, 4 Nd 3.70
Th  0.5000  0.5000  0.2873  4 Au 3.21
Au  0.0000  0.0000  0.5000  8 Th 3.21



Record 3
Material: Nd2ThAu
Method: DFT, GGA-PBE
State: optimized geometry

## Properties
The value obtained for the volume is 28.800 A^3/atom. The calculation puts the final energy at -5.2395 eV per atom. The calculation puts the energy above the lowest structure with this stoichiometry at 0.182 eV per atom.

a b c (Å): 5.6566 5.6566 3.6003
angles (deg): 90.00 90.00 90.00
Closest atoms and distances in Å follow each position.
Space group P4/mmm (No. 123)
Unique sites:
Nd  0.0000  0.5000  0.0000  4 Th 3.35, 4 Au 3.35, 2 Nd 3.60
Th  0.0000  0.0000  0.5000  8 Nd 3.35, 2 Th 3.60
Au  0.5000  0.5000  0.5000  8 Nd 3.35, 2 Au 3.60



Record 4
Material: NdTh2Au6
Method: DFT, GGA-PBE
State: optimized geometry

## Properties
The value obtained for the volume is 23.188 A^3/atom. The calculation puts the final energy at -5.0853 eV per atom.

a b c (Å): 8.3112 8.3112 3.4886
angles (deg): 90.00 90.00 120.00
Closest atoms and distances in Å follow each position.
Space group P6/mmm (No. 191)
Unique sites:
Nd  0.0000  0.0000  0.0000  12 Au 3.27, 2 Nd 3.49
Th  0.3333  0.6667  0.0000  12 Au 3.27, 2 Th 3.49
Au  0.0000  0.3333  0.5000  3 Au 2.77



Record 5
Material: NdTh2Au
Method: DFT, GGA-PBE
State: optimized geometry

## Properties
The value obtained for the volume is 30.841 A^3/atom. The calculation puts the final energy at -5.8729 eV per atom. The calculation puts the energy above the lowest structure with this stoichiometry at 0.078 eV per atom.

a b c (Å): 3.7066 3.7066 31.1048
angles (deg): 90.00 90.00 120.00
Closest atoms and distances in Å follow each position.
Space group R-3m (No. 166, hexagonal axes)
Unique sites:
Nd  0.0000  0.0000  0.0000  6 Th 3.62, 6 Nd 3.71
Th  0.0000  0.0000  0.2393  3 Au 3.11
Au  0.0000  0.0000  0.5000  6 Th 3.11



Record 6
Material: Nd2ThAu4
Method: DFT, GGA-PBE
State: optimized geometry

## Properties
The value obtained for the volume is 27.472 A^3/atom. The calculation puts the final energy at -4.8503 eV per atom.

a b c (Å): 7.1584 7.1584 7.5057
angles (deg): 90.00 90.00 90.00
Closest atoms and distances in Å follow each position.
Space group I4/mmm (No. 139)
Unique sites:
Nd  0.0000  0.5000  0.0000  8 Au 3.15
Th  0.0000  0.0000  0.0000  8 Au 3.15
Au  0.2500  0.2500  0.2500  2 Th 3.15, 4 Nd 3.15



Record 7
Material: NdTh2Au4
Method: DFT, GGA-PBE
State: optimized geometry

## Properties
The value obtained for the volume is 26.978 A^3/atom. The calculation puts the final energy at -5.2049 eV per atom.

a b c (Å): 5.3787 5.3787 13.0552
angles (deg): 90.00 90.00 90.00
Closest atoms and distances in Å follow each position.
Space group I4/mmm (No. 139)
Unique sites:
Nd  0.0000  0.0000  0.0000  8 Au 3.09
Th  0.0000  0.0000  0.2868  4 Au 2.97
Au  0.0000  0.5000  0.1164  2 Th 2.97, 1 Au 3.04, 2 Nd 3.09



Record 8
Material: Nd5ThAu6
Method: DFT, GGA-PBE
State: optimized geometry

## Properties
The value obtained for the volume is 25.709 A^3/atom. The calculation puts the final energy at -4.9698 eV per atom.

a b c (Å): 5.2913 7.3801 15.8003
angles (deg): 90.00 90.00 90.00
Closest atoms and distances in Å follow each position.
Space group Immm (No. 71)
Unique sites:
Nd  0.0000  0.0000  0.0000  8 Au 3.22-3.29
Nd  0.0000  0.0000  0.3272  8 Au 3.20-3.23
Nd  0.0000  0.5000  0.3367  8 Au 3.24-3.26
Th  0.0000  0.5000  0.0000  8 Au 3.15-3.16
Au  0.0000  0.2340  0.5000  2 Th 3.16, 6 Nd 3.23-3.29, 1 Au 3.45
Au  0.0000  0.2576  0.1642  1 Th 3.15, 7 Nd 3.20-3.26